Here is an optimized crystal structure of CsLiPrI6 from Alexandria. Energies are from GGA-PBE.

abc: 7.6563 7.6563 9.2745
angles: 90.00 90.00 120.00
Space group P312 (No. 149)
Asymmetric unit:
1 Cs 0.0000 0.0000 0.0000 [1 per cell]
2 Li 0.6667 0.3333 0.5000 [1 per cell]
3 Pr 0.3333 0.6667 0.5000 [1 per cell]
4 I 0.3640 0.0144 0.6978 [6 per cell]

***

Here is an optimized crystal structure of Cs2LiPrI6 from Alexandria. Energies are from GGA-PBE.

## Properties
* energy relative to the lowest polymorph listed for this composition: 5 meV per atom

abc: 12.279 12.279 12.279
angles: 90.00 90.00 90.00
Space group Fm-3m (No. 225)
Asymmetric unit:
1 Cs 0.250 0.250 0.250 [8 per cell]
2 Li 0.000 0.000 0.000 [4 per cell]
3 Pr 0.000 0.000 0.500 [4 per cell]
4 I 0.000 0.000 0.245 [24 per cell]

***

Here is an optimized crystal structure of Cs2LiPrI5 from Alexandria. Energies are from GGA-PBE.

abc: 4.536 22.636 16.472
angles: 90.00 90.00 90.00
Space group Cmc2_1 (No. 36)
Asymmetric unit:
1 Cs 0.000 0.116 0.000 [4 per cell]
2 Cs 0.000 0.128 0.629 [4 per cell]
3 Li 0.000 0.431 0.744 [4 per cell]
4 Pr 0.000 0.202 0.331 [4 per cell]
5 I 0.000 0.061 0.342 [4 per cell]
6 I 0.000 0.289 0.973 [4 per cell]
7 I 0.000 0.309 0.686 [4 per cell]
8 I 0.000 0.343 0.316 [4 per cell]
9 I 0.000 0.495 0.605 [4 per cell]

***

| no. | calculated density (g/cm3) | energy (eV per atom) |
| --- | --- | --- |
| 1 | 3.67 | -3.020 |
| 2 | 4.22 | -3.209 |
| 3 | 4.12 | -3.146 |